Entry 1:
Density functional theory data (GGA-PBE) for a geometry-optimized Pr6SmDy2Er3 structure.

```
Pr6SmDy2Er3
1.0
3.152 -5.460 0.000
3.152 5.460 0.000
-2.096 0.000 11.697
Pr Sm Dy Er
6 1 2 3
Cartesian
0.007 1.822 8.795 Pr
1.053 0.000 2.903 Pr
0.007 -1.822 8.795 Pr
4.202 1.822 2.902 Pr
3.156 0.000 8.794 Pr
4.202 -1.822 2.902 Pr
-1.048 0.000 5.848 Sm
2.104 1.818 5.848 Dy
2.104 -1.818 5.848 Dy
3.152 3.639 0.000 Er
3.152 0.000 0.000 Er
3.152 -3.639 0.000 Er
```

Results
- Energy: -4.68 eV per atom
- ΔH_f (0 K): 0.153 eV per formula unit
- DOS at the Fermi energy: 13.2 states/eV/f.u.
- Total magnetization: 0.00 μB/f.u.

Entry 2:
Density functional theory data (GGA-PBE) for a geometry-optimized Be3SiSe structure.

```
Be3SiSe
1.0
4.289 0.000 0.000
0.000 4.289 0.000
0.000 0.000 4.289
Be Si Se
3 1 1
Cartesian
0.000 0.000 2.145 Be
0.000 2.145 0.000 Be
2.145 0.000 0.000 Be
0.000 0.000 0.000 Si
2.145 2.145 2.145 Se
```

Results
- Excess energy over the best structure of this formula in the dataset: 0.0 kJ per mole of atoms
- Raw formation energy: 0.617 eV/atom
- Energy: -3.40 eV per atom
- DOS at the Fermi energy: 0.0 states/eV/f.u.
- Total magnetization: 0.00 μB/f.u.

Entry 3:
Density functional theory data (GGA-PBE) for a geometry-optimized PrTh3Hg4 structure.

```
PrTh3Hg4
1.0
3.832 0.000 0.000
0.000 3.832 0.000
0.000 0.000 15.370
Pr Th Hg
1 3 4
Cartesian
0.000 0.000 0.000 Pr
0.000 0.000 3.869 Th
0.000 0.000 7.685 Th
0.000 0.000 11.501 Th
1.916 1.916 1.928 Hg
1.916 1.916 5.775 Hg
1.916 1.916 9.595 Hg
1.916 1.916 13.442 Hg
```

Results
- Energy: -3.79 eV per atom
- ΔH_f (0 K): -2.099 eV per formula unit
- DOS at the Fermi energy: 7.2 states/eV/f.u.
- Total magnetization: 0.21 μB/f.u.

Which value of total magnetization does entry 3 give?
0.21 μB/f.u.